[1]
Entry from the Alexandria database: a PBEsol-optimized structure of ScOsO2 (SCAN). Values from VASP.

```
&SYSTEM
  ibrav = 0, nat = 4, ntyp = 3
/
ATOMIC_SPECIES
Sc 44.96 Sc.upf
Os 190.23 Os.upf
O 16.00 O.upf
CELL_PARAMETERS angstrom
1.720 0.993 5.175
-1.720 0.993 5.175
0.000 -1.986 5.175
ATOMIC_POSITIONS crystal
Sc 0.000 0.000 0.000
Os 0.500 0.500 0.500
O 0.128 0.128 0.128
O 0.872 0.872 0.872
```

[2]
Entry from the Alexandria database: a PBEsol-optimized structure of ScOs3O (SCAN). Values from VASP.

```
&SYSTEM
  ibrav = 0, nat = 5, ntyp = 3
/
ATOMIC_SPECIES
Sc 44.96 Sc.upf
Os 190.23 Os.upf
O 16.00 O.upf
CELL_PARAMETERS angstrom
4.610 0.000 0.000
0.000 4.610 0.000
0.000 0.000 4.610
ATOMIC_POSITIONS crystal
Sc 0.000 0.000 0.000
Os 0.000 0.000 0.500
Os 0.000 0.500 0.000
Os 0.500 0.000 0.000
O 0.500 0.500 0.500
```

[3]
Entry from the Alexandria database: a PBEsol-optimized structure of Sc3OsO (SCAN). Values from VASP.

```
&SYSTEM
  ibrav = 0, nat = 5, ntyp = 3
/
ATOMIC_SPECIES
Sc 44.96 Sc.upf
Os 190.23 Os.upf
O 16.00 O.upf
CELL_PARAMETERS angstrom
4.928 0.000 0.000
0.000 4.928 0.000
0.000 0.000 4.928
ATOMIC_POSITIONS crystal
Sc 0.000 0.000 0.500
Sc 0.000 0.500 0.000
Sc 0.500 0.000 0.000
Os 0.000 0.000 0.000
O 0.500 0.500 0.500
```

[4]
Entry from the Alexandria database: a PBEsol-optimized structure of Sr2ScOsO6 (SCAN). Values from VASP.

```
&SYSTEM
  ibrav = 0, nat = 10, ntyp = 4
/
ATOMIC_SPECIES
Sr 87.62 Sr.upf
Sc 44.96 Sc.upf
Os 190.23 Os.upf
O 16.00 O.upf
CELL_PARAMETERS angstrom
0.000 3.990 3.990
3.990 0.000 3.990
3.990 3.990 0.000
ATOMIC_POSITIONS crystal
Sr 0.250 0.250 0.250
Sr 0.750 0.750 0.750
Sc 0.000 0.000 0.000
Os 0.500 0.500 0.500
O 0.256 0.256 0.744
O 0.256 0.744 0.256
O 0.256 0.744 0.744
O 0.744 0.256 0.256
O 0.744 0.256 0.744
O 0.744 0.744 0.256
```

| no. | DFT total energy (eV per atom) | formation energy from raw total energies (eV/atom) | total magnetization (Bohr magnetons per cell) |
| --- | --- | --- | --- |
| 1 | -25.8061 | -1.1612 | 0.00 |
| 2 | -44.0761 | 3.1455 | 4.31 |
| 3 | -24.0395 | 0.1250 | 0.00 |
| 4 | -19.5590 | -2.7536 | 3.01 |